This record from Alexandria describes crystalline LaEuAs2 at its relaxed geometry. The functional is PBE.

Results
- ρ: 6319 kg/m³
- Calculated formation energy: -5.26 eV per formula unit
- DOS(E_F): 10.702 states/eV/f.u.

Lattice parameters (Å, degrees): 4.3492 4.3492 7.5020 73.15 73.15 60.00
Closest atoms and distances in Å follow each position.
Atoms (fractional coordinates):
1 As 0.2495 0.2495 0.2516  3 Eu 3.06, 3 La 3.08
2 As 0.7505 0.7505 0.7484  3 Eu 3.06, 3 La 3.08
3 La 0.0000 0.0000 0.0000  6 As 3.08
4 Eu 0.5000 0.5000 0.5000  6 As 3.06

***

This record from Alexandria describes crystalline LaEuAs at its relaxed geometry. The functional is PBE.

Results
- E above lowest polymorph: 0.008 eV/atom
- ρ: 5600 kg/m³
- Calculated formation energy: -2.59 eV per formula unit
- DOS(E_F): 8.872 states/eV/f.u.

Lattice parameters (Å, degrees): 6.7526 4.3067 4.3067 120.00 90.00 90.00
Closest atoms and distances in Å follow each position.
Atoms (fractional coordinates):
1 La 0.2471 0.3333 0.6667  3 As 2.97
2 As 0.0053 0.0000 0.0000  3 La 2.97, 3 Eu 3.03
3 Eu 0.7476 0.6667 0.3333  3 As 3.03

***

This record from Alexandria describes crystalline La2EuAs at its relaxed geometry. The functional is PBE.

Results
- ρ: 5574 kg/m³
- Calculated formation energy: -2.67 eV per formula unit
- DOS(E_F): 4.350 states/eV/f.u.

Lattice parameters (Å, degrees): 4.1382 4.1382 10.4164 78.54 78.54 60.00
Closest atoms and distances in Å follow each position.
Atoms (fractional coordinates):
1 As 0.0000 0.0000 0.0000  6 La 2.98
2 Eu 0.5000 0.5000 0.5000  6 La 4.06, 6 Eu 4.14
3 La 0.2746 0.2746 0.1763  3 As 2.98
4 La 0.7254 0.7254 0.8237  3 As 2.98